[1]
SbMoW3: optimized geometry, PBE.

Properties
Its density of states at the Fermi level is 9.65 states/eV per cell. For the total magnetization, the calculation gives 0.00 μB per cell. As for the raw formation energy: 2.77 eV/atom. The value obtained for the relative energy among the computed polymorphs is 758 meV/atom.

a b c (Å): 4.7944 4.7944 4.7944
angles (deg): 90.00 90.00 90.00
Last column: nearest neighbours and their distance in Å.
Space group Pm-3m (No. 221)
Unique sites:
Sb 0.0000 0.0000 0.0000 x1  6 W 2.40
Mo 0.5000 0.5000 0.5000 x1  12 W 3.39
W 0.0000 0.0000 0.5000 x3  2 Sb 2.40

***

[2]
CrCuRe2: optimized geometry, PBE.

Properties
Its density of states at the Fermi level is 3.43 states/eV per cell. For the total magnetization, the calculation gives 0.17 μB per cell. The calculation puts the formation energy at 0.251 eV/atom. The value obtained for the relative energy among the computed polymorphs is 27 meV/atom.

a b c (Å): 2.6637 3.8406 5.3001
angles (deg): 90.00 90.00 90.00
Last column: nearest neighbours and their distance in Å.
Space group Pmmm (No. 47)
Unique sites:
Cr 0.0000 0.0000 0.0000 x1  2 Cu 2.65, 2 Cr 2.66, 8 Re 2.67
Cu 0.0000 0.0000 0.5000 x1  2 Cr 2.65, 2 Cu 2.66, 8 Re 2.71
Re 0.5000 0.5000 0.2418 x2  4 Re 2.56-2.74, 4 Cr 2.67, 4 Cu 2.71

***

[3]
VHIr2: optimized geometry, PBE.

Properties
Its density of states at the Fermi level is 2.20 states/eV per cell. For the total magnetization, the calculation gives 0.00 μB per cell. The value obtained for the relative energy among the computed polymorphs is 52 meV/atom.

a b c (Å): 2.8622 2.8622 5.7443
angles (deg): 90.00 90.00 90.00
Last column: nearest neighbours and their distance in Å.
Space group P4/mmm (No. 123)
Unique sites:
V 0.0000 0.0000 0.0000 x1  8 Ir 2.56, 4 V 2.86
H 0.0000 0.0000 0.5000 x1  8 Ir 2.41
Ir 0.5000 0.5000 0.2737 x2  4 H 2.41, 4 V 2.56, 1 Ir 2.60

***

[4]
Na4DyPd3O8: optimized geometry, PBE.

Properties
Its density of states at the Fermi level is 15.56 states/eV per cell. For the total magnetization, the calculation gives 2.00 μB per cell. As for the raw formation energy: -1.31 eV/atom.

a b c (Å): 12.1160 6.2129 6.4782
angles (deg): 90.00 122.08 90.00
Last column: nearest neighbours and their distance in Å.
Space group C2/m (No. 12)
Unique sites:
Na 0.0000 0.0000 0.0000 x2  4 O 2.43
Na 0.0000 0.5000 0.0000 x2  4 O 2.30
Na 0.2500 0.2500 0.0000 x4  6 O 2.32-2.54
Dy 0.0000 0.0000 0.5000 x2  6 O 2.23-2.35
Pd 0.0000 0.5000 0.5000 x2  6 O 2.08
Pd 0.2500 0.2500 0.5000 x4  4 O 2.07-2.08
O 0.0243 0.2666 0.7516 x8  1 Pd 2.08, 1 Dy 2.23, 2 Na 2.30-2.32
O 0.2007 0.5000 0.6506 x4  3 Pd 2.08
O 0.2278 0.0000 0.6852 x4  2 Pd 2.07

***

[5]
TiCr2Te6: optimized geometry, PBE.

Properties
Its density of states at the Fermi level is 7.98 states/eV per cell. For the total magnetization, the calculation gives 10.09 μB per cell. As for the raw formation energy: -0.36 eV/atom.

a b c (Å): 14.0172 3.7669 10.8949
angles (deg): 90.00 119.04 90.00
Last column: nearest neighbours and their distance in Å.
Space group C2/m (No. 12)
Unique sites:
Ti 0.0000 0.0000 0.0000 x2  6 Te 2.77-2.78
Cr 0.1564 0.5000 0.3193 x4  6 Te 2.69-2.72
Te 0.0020 0.0000 0.2561 x4  2 Cr 2.69, 1 Ti 2.78
Te 0.1648 0.5000 0.0778 x4  1 Cr 2.69, 2 Ti 2.77
Te 0.1838 0.5000 0.5835 x4  3 Cr 2.71-2.72

***

[6]
Tb12Nd5Ho: optimized geometry, PBE.

Properties
Its density of states at the Fermi level is 54.14 states/eV per cell. For the total magnetization, the calculation gives 0.00 μB per cell. The calculation puts the formation energy at 0.087 eV/atom.

a b c (Å): 11.8319 17.3026 5.7724
angles (deg): 90.00 90.00 90.00
Last column: nearest neighbours and their distance in Å.
Space group C2/m (No. 12)
Unique sites:
Tb 0.1533 0.1798 0.9996 x8  5 Tb 3.34-3.68, 4 Nd 3.48-3.67
Tb 0.1544 0.3211 0.5004 x8  5 Tb 3.34-3.68, 3 Nd 3.49-3.65, 1 Ho 3.59
Tb 0.1991 0.5000 0.9977 x4  2 Tb 3.11, 2 Nd 3.33
Tb 0.2023 0.0000 0.5023 x4  2 Tb 3.11, 2 Nd 3.39
Nd 0.0000 0.0000 0.0000 x2  10 Tb 3.56-3.76, 4 Nd 3.75
Nd 0.0000 0.1384 0.5000 x4  8 Tb 3.39-3.65, 2 Nd 3.75
Nd 0.0000 0.3641 0.0000 x4  8 Tb 3.33-3.67, 2 Ho 3.72
Ho 0.0000 0.5000 0.5000 x2  10 Tb 3.52-3.74, 4 Nd 3.72

***

[7]
RbTl2RuO4: optimized geometry, PBE.

Properties
Its density of states at the Fermi level is 2.12 states/eV per cell. For the total magnetization, the calculation gives 2.04 μB per cell. As for the raw formation energy: -0.84 eV/atom.

a b c (Å): 6.1910 6.1910 9.4121
angles (deg): 90.00 90.00 90.00
Last column: nearest neighbours and their distance in Å.
Space group I-4 (No. 82)
Unique sites:
Rb 0.0000 0.0000 0.0000 x2  4 O 2.81
Tl 0.0000 0.0000 0.5000 x2  4 O 2.67
Tl 0.0000 0.5000 0.7500 x2  4 O 2.83
Ru 0.0000 0.5000 0.2500 x2  4 O 1.85
O 0.1799 0.7000 0.3344 x8  1 Ru 1.85

***

[8]
KZn2Te: optimized geometry, PBE.

Properties
Its density of states at the Fermi level is 2.77 states/eV per cell. For the total magnetization, the calculation gives 0.00 μB per cell. As for the raw formation energy: -0.15 eV/atom.

a b c (Å): 12.2106 4.0036 5.7849
angles (deg): 90.00 90.18 90.00
Last column: nearest neighbours and their distance in Å.
Space group C2/m (No. 12)
Unique sites:
K 0.0000 0.0000 0.0000 x2  4 Te 3.52, 4 Zn 3.62-3.63
Zn 0.1790 0.0000 0.5009 x4  2 Zn 2.65, 2 Te 2.96
Te 0.0000 0.5000 0.5000 x2  4 Zn 2.96

***

What is the formula in the fifth record? TiCr2Te6